# PBE TmH4IrPd2, optimized geometry
data_TmH4IrPd2
_cell_length_a 5.176
_cell_length_b 5.176
_cell_length_c 4.754
_cell_angle_alpha 123.37
_cell_angle_beta 123.36
_cell_angle_gamma 89.44
_symmetry_space_group_name_H-M 'P 1'
_symmetry_Int_Tables_number 1
_symmetry_space_group_name_Hall 'P 1'
loop_
_atom_site_label
_atom_site_fract_x
_atom_site_fract_y
_atom_site_fract_z
_atom_site_occupancy
Tm1 0.987 0.487 0.973 1
H1 0.506 0.569 0.545 1
H2 0.901 0.426 0.393 1
H3 0.494 0.967 0.397 1
H4 0.040 0.977 0.546 1
Ir1 0.737 0.737 0.474 1
Pd1 0.486 0.987 0.973 1
Pd2 0.236 0.238 0.473 1
# Total DFT energy (no corrections) = -40.3 eV per cell
# Space group = P1 (1)



# PBE TmH6IrPd2, optimized geometry
data_TmH6IrPd2
_cell_length_a 4.472
_cell_length_b 4.552
_cell_length_c 9.037
_cell_angle_alpha 90.00
_cell_angle_beta 90.32
_cell_angle_gamma 90.00
_symmetry_space_group_name_H-M 'P 1'
_symmetry_Int_Tables_number 1
_symmetry_space_group_name_Hall 'P 1'
loop_
_atom_site_label
_atom_site_fract_x
_atom_site_fract_y
_atom_site_fract_z
_atom_site_occupancy
Tm1 0.500 0.000 0.000 1
Tm2 0.000 0.500 0.500 1
H1 0.250 0.646 0.131 1
H2 0.750 0.854 0.631 1
H3 0.750 0.354 0.869 1
H4 0.250 0.146 0.369 1
H5 0.496 0.670 0.412 1
H6 0.996 0.830 0.912 1
H7 0.504 0.330 0.588 1
H8 0.004 0.170 0.088 1
H9 0.751 0.643 0.131 1
H10 0.251 0.857 0.631 1
H11 0.249 0.357 0.869 1
H12 0.749 0.143 0.369 1
Ir1 0.500 0.000 0.500 1
Ir2 0.000 0.500 0.000 1
Pd1 0.999 0.921 0.253 1
Pd2 0.499 0.579 0.753 1
Pd3 0.001 0.079 0.747 1
Pd4 0.501 0.421 0.247 1
# Total DFT energy (no corrections) = -94.1 eV per cell
# Space group = P2_1/c (14)



# PBE HIrPdW2, optimized geometry
data_HIrPdW2
_cell_length_a 3.966
_cell_length_b 3.966
_cell_length_c 4.039
_cell_angle_alpha 90.00
_cell_angle_beta 90.00
_cell_angle_gamma 90.00
_symmetry_space_group_name_H-M 'P 1'
_symmetry_Int_Tables_number 1
_symmetry_space_group_name_Hall 'P 1'
loop_
_atom_site_label
_atom_site_fract_x
_atom_site_fract_y
_atom_site_fract_z
_atom_site_occupancy
H1 0.000 0.000 0.000 1
Ir1 0.000 0.000 0.500 1
Pd1 0.500 0.500 0.500 1
W1 0.000 0.500 0.000 1
W2 0.500 0.000 0.000 1
# Total DFT energy (no corrections) = -42.8 eV per cell
# Distance to the lowest polymorph of the same formula = 0.11 eV per formula unit
# Space group = P4/mmm (123)



# PBE HIrPdW2, optimized geometry
data_HIrPdW2
_cell_length_a 3.949
_cell_length_b 3.949
_cell_length_c 4.073
_cell_angle_alpha 90.00
_cell_angle_beta 90.00
_cell_angle_gamma 90.00
_symmetry_space_group_name_H-M 'P 1'
_symmetry_Int_Tables_number 1
_symmetry_space_group_name_Hall 'P 1'
loop_
_atom_site_label
_atom_site_fract_x
_atom_site_fract_y
_atom_site_fract_z
_atom_site_occupancy
H1 0.000 0.000 0.000 1
Ir1 0.500 0.500 0.500 1
Pd1 0.000 0.000 0.500 1
W1 0.000 0.500 0.000 1
W2 0.500 0.000 0.000 1
# Total DFT energy (no corrections) = -42.9 eV per cell
# Distance to the lowest polymorph of the same formula = 0.00 eV per formula unit
# Space group = P4/mmm (123)



# PBE YH6IrPd2, optimized geometry
data_YH6IrPd2
_cell_length_a 4.535
_cell_length_b 4.600
_cell_length_c 8.999
_cell_angle_alpha 90.00
_cell_angle_beta 89.99
_cell_angle_gamma 90.00
_symmetry_space_group_name_H-M 'P 1'
_symmetry_Int_Tables_number 1
_symmetry_space_group_name_Hall 'P 1'
loop_
_atom_site_label
_atom_site_fract_x
_atom_site_fract_y
_atom_site_fract_z
_atom_site_occupancy
Y1 0.500 0.000 0.000 1
Y2 0.000 0.500 0.500 1
H1 0.246 0.640 0.133 1
H2 0.746 0.860 0.633 1
H3 0.754 0.360 0.867 1
H4 0.254 0.140 0.367 1
H5 0.500 0.671 0.413 1
H6 0.000 0.829 0.913 1
H7 0.500 0.329 0.587 1
H8 0.000 0.171 0.087 1
H9 0.754 0.640 0.133 1
H10 0.254 0.860 0.633 1
H11 0.246 0.360 0.867 1
H12 0.746 0.140 0.367 1
Ir1 0.500 0.000 0.500 1
Ir2 0.000 0.500 0.000 1
Pd1 0.000 0.926 0.252 1
Pd2 0.500 0.574 0.752 1
Pd3 0.000 0.074 0.748 1
Pd4 0.500 0.426 0.248 1
# Total DFT energy (no corrections) = -98.3 eV per cell
# Space group = Pnnm (58)



# PBE YH8IrPd2, optimized geometry
data_YH8IrPd2
_cell_length_a 4.441
_cell_length_b 4.475
_cell_length_c 5.979
_cell_angle_alpha 71.00
_cell_angle_beta 73.39
_cell_angle_gamma 77.38
_symmetry_space_group_name_H-M 'P 1'
_symmetry_Int_Tables_number 1
_symmetry_space_group_name_Hall 'P 1'
loop_
_atom_site_label
_atom_site_fract_x
_atom_site_fract_y
_atom_site_fract_z
_atom_site_occupancy
Y1 0.000 0.000 0.500 1
H1 0.112 0.685 0.231 1
H2 0.771 0.783 0.946 1
H3 0.688 0.122 0.211 1
H4 0.888 0.315 0.769 1
H5 0.229 0.217 0.054 1
H6 0.312 0.878 0.789 1
H7 0.585 0.701 0.466 1
H8 0.415 0.299 0.534 1
Ir1 0.000 0.000 0.000 1
Pd1 0.460 0.477 0.753 1
Pd2 0.540 0.523 0.247 1
# Total DFT energy (no corrections) = -55.2 eV per cell
# Space group = P-1 (2)



# PBE ZnHIrPd2, optimized geometry
data_ZnHIrPd2
_cell_length_a 3.992
_cell_length_b 3.992
_cell_length_c 3.890
_cell_angle_alpha 90.00
_cell_angle_beta 90.00
_cell_angle_gamma 90.00
_symmetry_space_group_name_H-M 'P 1'
_symmetry_Int_Tables_number 1
_symmetry_space_group_name_Hall 'P 1'
loop_
_atom_site_label
_atom_site_fract_x
_atom_site_fract_y
_atom_site_fract_z
_atom_site_occupancy
H1 0.000 0.000 0.000 1
Zn1 0.500 0.500 0.500 1
Ir1 0.000 0.000 0.500 1
Pd1 0.000 0.500 0.000 1
Pd2 0.500 0.000 0.000 1
# Total DFT energy (no corrections) = -24.3 eV per cell
# Distance to the lowest polymorph of the same formula = 0.00 eV per formula unit
# Space group = P4/mmm (123)



# PBE ZnHIrPd2, optimized geometry
data_ZnHIrPd2
_cell_length_a 3.844
_cell_length_b 3.844
_cell_length_c 4.180
_cell_angle_alpha 90.00
_cell_angle_beta 90.00
_cell_angle_gamma 90.00
_symmetry_space_group_name_H-M 'P 1'
_symmetry_Int_Tables_number 1
_symmetry_space_group_name_Hall 'P 1'
loop_
_atom_site_label
_atom_site_fract_x
_atom_site_fract_y
_atom_site_fract_z
_atom_site_occupancy
H1 0.000 0.000 0.000 1
Zn1 0.000 0.000 0.500 1
Ir1 0.500 0.500 0.500 1
Pd1 0.000 0.500 0.000 1
Pd2 0.500 0.000 0.000 1
# Total DFT energy (no corrections) = -23.6 eV per cell
# Distance to the lowest polymorph of the same formula = 0.68 eV per formula unit
# Space group = P4/mmm (123)



# PBE ZrHIrPd2, optimized geometry
data_ZrHIrPd2
_cell_length_a 4.018
_cell_length_b 4.018
_cell_length_c 4.168
_cell_angle_alpha 90.00
_cell_angle_beta 90.00
_cell_angle_gamma 90.00
_symmetry_space_group_name_H-M 'P 1'
_symmetry_Int_Tables_number 1
_symmetry_space_group_name_Hall 'P 1'
loop_
_atom_site_label
_atom_site_fract_x
_atom_site_fract_y
_atom_site_fract_z
_atom_site_occupancy
H1 0.000 0.000 0.000 1
Ir1 0.000 0.000 0.500 1
Zr1 0.500 0.500 0.500 1
Pd1 0.000 0.500 0.000 1
Pd2 0.500 0.000 0.000 1
# Total DFT energy (no corrections) = -33.9 eV per cell
# Distance to the lowest polymorph of the same formula = 0.00 eV per formula unit
# Space group = P4/mmm (123)



# PBE ZrHIr2Pd, optimized geometry
data_ZrHIr2Pd
_cell_length_a 4.064
_cell_length_b 4.064
_cell_length_c 4.024
_cell_angle_alpha 90.00
_cell_angle_beta 90.00
_cell_angle_gamma 90.00
_symmetry_space_group_name_H-M 'P 1'
_symmetry_Int_Tables_number 1
_symmetry_space_group_name_Hall 'P 1'
loop_
_atom_site_label
_atom_site_fract_x
_atom_site_fract_y
_atom_site_fract_z
_atom_site_occupancy
H1 0.000 0.000 0.000 1
Ir1 0.000 0.500 0.000 1
Ir2 0.500 0.000 0.000 1
Zr1 0.500 0.500 0.500 1
Pd1 0.000 0.000 0.500 1
# Total DFT energy (no corrections) = -37.3 eV per cell
# Distance to the lowest polymorph of the same formula = 0.00 eV per formula unit
# Space group = P4/mmm (123)



# PBE ZrHIr2Pd, optimized geometry
data_ZrHIr2Pd
_cell_length_a 3.998
_cell_length_b 3.998
_cell_length_c 4.164
_cell_angle_alpha 90.00
_cell_angle_beta 90.00
_cell_angle_gamma 90.00
_symmetry_space_group_name_H-M 'P 1'
_symmetry_Int_Tables_number 1
_symmetry_space_group_name_Hall 'P 1'
loop_
_atom_site_label
_atom_site_fract_x
_atom_site_fract_y
_atom_site_fract_z
_atom_site_occupancy
H1 0.000 0.000 0.000 1
Ir1 0.000 0.500 0.000 1
Ir2 0.500 0.000 0.000 1
Zr1 0.000 0.000 0.500 1
Pd1 0.500 0.500 0.500 1
# Total DFT energy (no corrections) = -37.1 eV per cell
# Distance to the lowest polymorph of the same formula = 0.20 eV per formula unit
# Space group = P4/mmm (123)



# PBE ZrHIrPd2, optimized geometry
data_ZrHIrPd2
_cell_length_a 3.928
_cell_length_b 3.928
_cell_length_c 4.388
_cell_angle_alpha 90.00
_cell_angle_beta 90.00
_cell_angle_gamma 90.00
_symmetry_space_group_name_H-M 'P 1'
_symmetry_Int_Tables_number 1
_symmetry_space_group_name_Hall 'P 1'
loop_
_atom_site_label
_atom_site_fract_x
_atom_site_fract_y
_atom_site_fract_z
_atom_site_occupancy
H1 0.000 0.000 0.000 1
Ir1 0.500 0.500 0.500 1
Zr1 0.000 0.000 0.500 1
Pd1 0.000 0.500 0.000 1
Pd2 0.500 0.000 0.000 1
# Total DFT energy (no corrections) = -33.6 eV per cell
# Distance to the lowest polymorph of the same formula = 0.27 eV per formula unit
# Space group = P4/mmm (123)



# PBE Pm3HIr2, optimized geometry
data_Pm3HIr2
_cell_length_a 5.954
_cell_length_b 6.765
_cell_length_c 7.549
_cell_angle_alpha 99.95
_cell_angle_beta 90.00
_cell_angle_gamma 116.11
_symmetry_space_group_name_H-M 'P 1'
_symmetry_Int_Tables_number 1
_symmetry_space_group_name_Hall 'P 1'
loop_
_atom_site_label
_atom_site_fract_x
_atom_site_fract_y
_atom_site_fract_z
_atom_site_occupancy
Pm1 0.596 0.000 0.750 1
Pm2 0.404 0.000 0.250 1
Pm3 0.952 0.675 0.843 1
Pm4 0.277 0.325 0.657 1
Pm5 0.723 0.675 0.343 1
Pm6 0.048 0.325 0.157 1
H1 0.023 0.000 0.250 1
H2 0.977 0.000 0.750 1
Ir1 0.232 0.659 0.478 1
Ir2 0.427 0.659 0.978 1
Ir3 0.573 0.341 0.022 1
Ir4 0.768 0.341 0.522 1
# Total DFT energy (no corrections) = -77.5 eV per cell
# Distance to the lowest polymorph of the same formula = 0.00 eV per formula unit
# Space group = C2/c (15)



# PBE PmH8Ir2, optimized geometry
data_PmH8Ir2
_cell_length_a 4.447
_cell_length_b 4.447
_cell_length_c 4.911
_cell_angle_alpha 90.00
_cell_angle_beta 90.00
_cell_angle_gamma 90.00
_symmetry_space_group_name_H-M 'P 1'
_symmetry_Int_Tables_number 1
_symmetry_space_group_name_Hall 'P 1'
loop_
_atom_site_label
_atom_site_fract_x
_atom_site_fract_y
_atom_site_fract_z
_atom_site_occupancy
Pm1 0.500 0.500 0.500 1
H1 0.780 0.780 0.187 1
H2 0.780 0.220 0.813 1
H3 0.780 0.780 0.813 1
H4 0.780 0.220 0.187 1
H5 0.220 0.780 0.187 1
H6 0.220 0.780 0.813 1
H7 0.220 0.220 0.187 1
H8 0.220 0.220 0.813 1
Ir1 0.500 0.000 0.000 1
Ir2 0.000 0.500 0.000 1
# Total DFT energy (no corrections) = -50.3 eV per cell
# Space group = P4/mmm (123)



# PBE PmH2Ir, optimized geometry
data_PmH2Ir
_cell_length_a 4.135
_cell_length_b 4.135
_cell_length_c 4.478
_cell_angle_alpha 62.50
_cell_angle_beta 62.50
_cell_angle_gamma 60.00
_symmetry_space_group_name_H-M 'P 1'
_symmetry_Int_Tables_number 1
_symmetry_space_group_name_Hall 'P 1'
loop_
_atom_site_label
_atom_site_fract_x
_atom_site_fract_y
_atom_site_fract_z
_atom_site_occupancy
H1 0.148 0.148 0.555 1
H2 0.852 0.852 0.445 1
Ir1 0.000 0.000 0.000 1
Pm1 0.500 0.500 0.500 1
# Total DFT energy (no corrections) = -22.1 eV per cell
# Space group = R-3m (166)



# PBE PmH4Ir, optimized geometry
data_PmH4Ir
_cell_length_a 3.866
_cell_length_b 4.992
_cell_length_c 6.397
_cell_angle_alpha 90.00
_cell_angle_beta 107.59
_cell_angle_gamma 90.00
_symmetry_space_group_name_H-M 'P 1'
_symmetry_Int_Tables_number 1
_symmetry_space_group_name_Hall 'P 1'
loop_
_atom_site_label
_atom_site_fract_x
_atom_site_fract_y
_atom_site_fract_z
_atom_site_occupancy
Pm1 0.370 0.750 0.740 1
Pm2 0.630 0.250 0.260 1
H1 0.196 0.489 0.391 1
H2 0.804 0.511 0.609 1
H3 0.196 0.011 0.391 1
H4 0.804 0.989 0.609 1
H5 0.602 0.750 0.204 1
H6 0.398 0.250 0.796 1
H7 0.000 0.500 0.000 1
H8 0.000 0.000 0.000 1
Ir1 0.106 0.750 0.211 1
Ir2 0.894 0.250 0.789 1
# Total DFT energy (no corrections) = -59.7 eV per cell
# Distance to the lowest polymorph of the same formula = 0.15 eV per formula unit
# Space group = Cmcm (63)



# PBE Pm2HIr, optimized geometry
data_Pm2HIr
_cell_length_a 3.942
_cell_length_b 3.942
_cell_length_c 7.290
_cell_angle_alpha 74.32
_cell_angle_beta 74.32
_cell_angle_gamma 60.00
_symmetry_space_group_name_H-M 'P 1'
_symmetry_Int_Tables_number 1
_symmetry_space_group_name_Hall 'P 1'
loop_
_atom_site_label
_atom_site_fract_x
_atom_site_fract_y
_atom_site_fract_z
_atom_site_occupancy
Pm1 0.081 0.081 0.757 1
Pm2 0.257 0.257 0.230 1
H1 0.494 0.494 0.517 1
Ir1 0.668 0.668 0.996 1
# Total DFT energy (no corrections) = -23.2 eV per cell
# Distance to the lowest polymorph of the same formula = 0.61 eV per formula unit
# Space group = R3m (160)



# PBE Pm2H4Ir, optimized geometry
data_Pm2H4Ir
_cell_length_a 3.712
_cell_length_b 3.712
_cell_length_c 6.953
_cell_angle_alpha 74.52
_cell_angle_beta 74.52
_cell_angle_gamma 90.00
_symmetry_space_group_name_H-M 'P 1'
_symmetry_Int_Tables_number 1
_symmetry_space_group_name_Hall 'P 1'
loop_
_atom_site_label
_atom_site_fract_x
_atom_site_fract_y
_atom_site_fract_z
_atom_site_occupancy
H1 0.140 0.140 0.720 1
H2 0.860 0.860 0.280 1
H3 0.000 0.500 0.000 1
H4 0.500 0.000 0.000 1
Ir1 0.000 0.000 0.000 1
Pm1 0.353 0.353 0.294 1
Pm2 0.647 0.647 0.706 1
# Total DFT energy (no corrections) = -34.7 eV per cell
# Space group = I4/mmm (139)



# PBE Pm5HIr2, optimized geometry
data_Pm5HIr2
_cell_length_a 5.655
_cell_length_b 6.508
_cell_length_c 13.307
_cell_angle_alpha 90.00
_cell_angle_beta 90.00
_cell_angle_gamma 115.75
_symmetry_space_group_name_H-M 'P 1'
_symmetry_Int_Tables_number 1
_symmetry_space_group_name_Hall 'P 1'
loop_
_atom_site_label
_atom_site_fract_x
_atom_site_fract_y
_atom_site_fract_z
_atom_site_occupancy
Pm1 0.940 0.880 0.881 1
Pm2 0.940 0.880 0.619 1
Pm3 0.361 0.722 0.415 1
Pm4 0.361 0.722 0.085 1
Pm5 0.720 0.440 0.250 1
Pm6 0.280 0.560 0.750 1
Pm7 0.639 0.278 0.585 1
Pm8 0.639 0.278 0.915 1
Pm9 0.060 0.120 0.119 1
Pm10 0.060 0.120 0.381 1
H1 0.781 0.562 0.750 1
H2 0.219 0.438 0.250 1
Ir1 0.824 0.648 0.438 1
Ir2 0.824 0.648 0.062 1
Ir3 0.176 0.352 0.562 1
Ir4 0.176 0.352 0.938 1
# Total DFT energy (no corrections) = -95.6 eV per cell
# Space group = Cmcm (63)



# PBE PmH6Ir, optimized geometry
data_PmH6Ir
_cell_length_a 4.535
_cell_length_b 4.535
_cell_length_c 4.697
_cell_angle_alpha 61.14
_cell_angle_beta 61.14
_cell_angle_gamma 60.00
_symmetry_space_group_name_H-M 'P 1'
_symmetry_Int_Tables_number 1
_symmetry_space_group_name_Hall 'P 1'
loop_
_atom_site_label
_atom_site_fract_x
_atom_site_fract_y
_atom_site_fract_z
_atom_site_occupancy
Pm1 0.500 0.500 0.500 1
H1 0.899 0.899 0.768 1
H2 0.434 0.899 0.768 1
H3 0.101 0.566 0.232 1
H4 0.566 0.101 0.232 1
H5 0.101 0.101 0.232 1
H6 0.899 0.434 0.768 1
Ir1 0.000 0.000 0.000 1
# Total DFT energy (no corrections) = -37.5 eV per cell
# Distance to the lowest polymorph of the same formula = 0.00 eV per formula unit
# Space group = R-3m (166)